[1]
VASP calculation (PBE) on a geometry-optimized Er3Sc2Zn2 structure.

The structure in POSCAR format:
```
Er3Sc2Zn2
1.0
2.5342 1.4631 7.4338
-2.5342 1.4631 7.4338
0.0000 -2.9262 7.4338
Er Sc Zn
3 2 2
Direct
0.0000 0.0000 0.0000
0.1564 0.1564 0.1564
0.8436 0.8436 0.8436
0.4219 0.4219 0.4219
0.5781 0.5781 0.5781
0.2878 0.2878 0.2878
0.7122 0.7122 0.7122
```

Calculated values
Symmetry: R-3m, No. 166
Relative energy among the computed polymorphs: 0.0 meV per atom

---

[2]
VASP calculation (PBE) on a geometry-optimized ErSc3Zn8 structure.

The structure in POSCAR format:
```
ErSc3Zn8
1.0
5.3322 0.0000 0.0000
-2.6661 4.6179 0.0000
0.0000 0.0000 8.5105
Er Sc Zn
1 3 8
Direct
0.0000 0.0000 0.0000
0.0000 0.0000 0.3798
0.6667 0.3333 0.4914
0.6667 0.3333 0.8651
0.1632 0.3265 0.6819
0.1632 0.8368 0.6819
0.3333 0.6667 0.4346
0.3333 0.6667 0.9341
0.5045 0.0090 0.1873
0.5045 0.4955 0.1873
0.6735 0.8368 0.6819
0.9910 0.4955 0.1873
```

Calculated values
Symmetry: P3m1, No. 156

---

Number 1: density of states at the Fermi level 6.85 states/eV per cell, calculated formation energy -0.1099 eV per atom. Number 2: density of states at the Fermi level 10.31 states/eV per cell, calculated formation energy -0.3301 eV per atom.